# Nd2MgCd5 (PBE, relaxed)
data_Nd2MgCd5
_chemical_formula_sum 'Nd4 Mg2 Cd10'
_cell_length_a 7.147
_cell_length_b 7.147
_cell_length_c 8.088
_cell_angle_alpha 90.00
_cell_angle_beta 90.00
_cell_angle_gamma 90.00
_space_group_name_H-M_alt 'I 4 m m'
_space_group_IT_number 107
_space_group_name_Hall 'I 4 -2'
loop_
_atom_site_label
_atom_site_type_symbol
_atom_site_fract_x
_atom_site_fract_y
_atom_site_fract_z
Nd1 Nd 0.000 0.500 0.000
Mg1 Mg 0.000 0.000 0.054
Cd1 Cd 0.000 0.000 0.447
Cd2 Cd 0.215 0.215 0.752
# formation enthalpy at 0 K	-181	kJ/mol of formula units
# energy above the most stable polymorph in this dataset	0.000	eV per atom



# TaNbIr2Au (PBE, relaxed)
data_TaNbIr2Au
_chemical_formula_sum 'Ta1 Nb1 Ir2 Au1'
_cell_length_a 4.830
_cell_length_b 4.830
_cell_length_c 4.743
_cell_angle_alpha 90.00
_cell_angle_beta 90.00
_cell_angle_gamma 90.00
_space_group_name_H-M_alt 'P 4/m m m'
_space_group_IT_number 123
_space_group_name_Hall '-P 4 2'
loop_
_atom_site_label
_atom_site_type_symbol
_atom_site_fract_x
_atom_site_fract_y
_atom_site_fract_z
Ta1 Ta 0.000 0.000 0.000
Nb1 Nb 0.500 0.500 0.000
Ir1 Ir 0.000 0.500 0.500
Au1 Au 0.000 0.000 0.500
# formation enthalpy at 0 K	955	kJ/mol of formula units



# La2CuIrC (PBE, relaxed)
data_La2CuIrC
_chemical_formula_sum 'La2 Cu1 Ir1 C1'
_cell_length_a 5.248
_cell_length_b 5.248
_cell_length_c 3.725
_cell_angle_alpha 90.00
_cell_angle_beta 90.00
_cell_angle_gamma 90.00
_space_group_name_H-M_alt 'P 4/m m m'
_space_group_IT_number 123
_space_group_name_Hall '-P 4 2'
loop_
_atom_site_label
_atom_site_type_symbol
_atom_site_fract_x
_atom_site_fract_y
_atom_site_fract_z
La1 La 0.000 0.500 0.000
Cu1 Cu 0.000 0.000 0.500
Ir1 Ir 0.500 0.500 0.500
C1 C 0.000 0.000 0.000
# formation enthalpy at 0 K	-86	kJ/mol of formula units
# energy above the most stable polymorph in this dataset	0.181	eV per atom



# Y2Zn5Pt3 (PBE, relaxed)
data_Y2Zn5Pt3
_chemical_formula_sum 'Y8 Zn20 Pt12'
_cell_length_a 4.299
_cell_length_b 24.628
_cell_length_c 6.928
_cell_angle_alpha 90.00
_cell_angle_beta 90.00
_cell_angle_gamma 90.00
_space_group_name_H-M_alt 'C m c 21'
_space_group_IT_number 36
loop_
_space_group_symop_operation_xyz
'x,y,z'
'-x,-y,z+1/2'
'-x,y,z'
'x,-y,z+1/2'
'x+1/2,y+1/2,z'
'-x+1/2,-y+1/2,z+1/2'
'-x+1/2,y+1/2,z'
'x+1/2,-y+1/2,z+1/2'
loop_
_atom_site_label
_atom_site_type_symbol
_atom_site_fract_x
_atom_site_fract_y
_atom_site_fract_z
Y1 Y 0.000 0.022 0.000
Y2 Y 0.000 0.323 0.933
Zn1 Zn 0.000 0.104 0.645
Zn2 Zn 0.000 0.204 0.108
Zn3 Zn 0.000 0.207 0.727
Zn4 Zn 0.000 0.373 0.482
Zn5 Zn 0.000 0.447 0.825
Pt1 Pt 0.000 0.110 0.262
Pt2 Pt 0.000 0.267 0.414
Pt3 Pt 0.000 0.452 0.214
# formation enthalpy at 0 K	-695	kJ/mol of formula units



# PuTlP2 (PBE, relaxed)
data_PuTlP2
_chemical_formula_sum 'Pu3 Tl3 P6'
_cell_length_a 4.1868
_cell_length_b 4.1868
_cell_length_c 18.7756
_cell_angle_alpha 90.00
_cell_angle_beta 90.00
_cell_angle_gamma 120.00
_space_group_name_H-M_alt 'R -3 m'
_space_group_IT_number 166
_space_group_name_Hall '-R 3 2"'
loop_
_atom_site_label
_atom_site_type_symbol
_atom_site_fract_x
_atom_site_fract_y
_atom_site_fract_z
Pu1 Pu 0.0000 0.0000 0.0000
Tl1 Tl 0.0000 0.0000 0.5000
P1 P 0.0000 0.0000 0.2624
# formation enthalpy at 0 K	-113	kJ/mol of formula units



# RbTaBe (PBE, relaxed)
data_RbTaBe
_chemical_formula_sum 'Rb2 Ta2 Be2'
_cell_length_a 3.409
_cell_length_b 4.669
_cell_length_c 12.538
_cell_angle_alpha 99.67
_cell_angle_beta 90.85
_cell_angle_gamma 111.34
_space_group_name_H-M_alt 'P 1'
_space_group_IT_number 1
loop_
_space_group_symop_operation_xyz
'x,y,z'
loop_
_atom_site_label
_atom_site_type_symbol
_atom_site_fract_x
_atom_site_fract_y
_atom_site_fract_z
Rb1 Rb 0.000 0.000 0.000
Rb2 Rb 0.309 0.693 0.373
Ta1 Ta 0.651 0.344 0.605
Ta2 Ta 0.975 0.981 0.703
Be1 Be 0.277 0.581 0.749
Be2 Be 0.671 0.363 0.797
# formation enthalpy at 0 K	186	kJ/mol of formula units
# energy above the most stable polymorph in this dataset	0.192	eV per atom



# Pm4CoCu (PBE, relaxed)
data_Pm4CoCu
_chemical_formula_sum 'Pm4 Co1 Cu1'
_cell_length_a 6.269
_cell_length_b 4.025
_cell_length_c 7.473
_cell_angle_alpha 90.00
_cell_angle_beta 112.42
_cell_angle_gamma 90.00
_space_group_name_H-M_alt 'P 1 m 1'
_space_group_IT_number 6
loop_
_space_group_symop_operation_xyz
'x,y,z'
'x,-y,z'
loop_
_atom_site_label
_atom_site_type_symbol
_atom_site_fract_x
_atom_site_fract_y
_atom_site_fract_z
Pm1 Pm 0.000 0.000 0.000
Pm2 Pm 0.005 0.500 0.455
Pm3 Pm 0.496 0.500 0.985
Pm4 Pm 0.502 0.000 0.441
Co1 Co 0.750 0.000 0.220
Cu1 Cu 0.752 0.500 0.720
# formation enthalpy at 0 K	1	kJ/mol of formula units
# energy above the most stable polymorph in this dataset	0.074	eV per atom



# VCrTc2C (PBE, relaxed)
data_VCrTc2C
_chemical_formula_sum 'V1 Cr1 Tc2 C1'
_cell_length_a 4.395
_cell_length_b 4.395
_cell_length_c 4.225
_cell_angle_alpha 90.00
_cell_angle_beta 90.00
_cell_angle_gamma 90.00
_space_group_name_H-M_alt 'P 4/m m m'
_space_group_IT_number 123
_space_group_name_Hall '-P 4 2'
loop_
_atom_site_label
_atom_site_type_symbol
_atom_site_fract_x
_atom_site_fract_y
_atom_site_fract_z
V1 V 0.000 0.000 0.000
Cr1 Cr 0.000 0.000 0.500
Tc1 Tc 0.000 0.500 0.500
C1 C 0.500 0.500 0.000
# formation enthalpy at 0 K	1107	kJ/mol of formula units